1.
## DyTlSn4 (GGA-PBE)

Data for a relaxed structure of DyTlSn4.

abc: 6.2192 6.2192 6.2192
angles: 60.00 60.00 60.00
Fractional coordinates of all 6 atoms:
Dy  0.0000  0.0000  0.0000
Tl  0.7500  0.7500  0.7500
Sn  0.3746  0.3746  0.3746
Sn  0.3746  0.3746  0.8761
Sn  0.3746  0.8761  0.3746
Sn  0.8761  0.3746  0.3746

## Properties
Its space-group type is F-43m (216). The value obtained for the total energy is -0.14535 hartree per atom. The energy of formation from the pure elements is -125 meV per atom.

---

2.
## DyTl2Sn (GGA-PBE)

Data for a relaxed structure of DyTl2Sn.

abc: 11.6190 11.6190 11.6190
angles: 17.54 17.54 17.54
Fractional coordinates of all 4 atoms:
Dy  0.0000  0.0000  0.0000
Tl  0.0908  0.0908  0.0908
Tl  0.9092  0.9092  0.9092
Sn  0.5000  0.5000  0.5000

## Properties
For the energy relative to the lowest polymorph listed for this composition, the calculation gives 403 meV/atom. Its space-group type is R-3m (166). The value obtained for the total energy is -0.11867 hartree per atom. The energy of formation from the pure elements is 105 meV per atom.

---

The records above give, respectively, spin magnetization values of 0.000, 0.000 μB per formula unit.